Record 1
VASP calculation (GGA-PBE) on Gd2ThHg after structural relaxation.

```
data_Gd2ThHg
_space_group_name_H-M_alt 'P 4/m m m'
_space_group_IT_number 123
_space_group_name_Hall '-P 4 2'
_cell_length_a 4.855
_cell_length_b 4.855
_cell_length_c 4.897
_cell_angle_alpha 90.00
_cell_angle_beta 90.00
_cell_angle_gamma 90.00
loop_
_atom_site_label
_atom_site_fract_x
_atom_site_fract_y
_atom_site_fract_z
Gd1 0.000 0.500 0.000
Th1 0.000 0.000 0.500
Hg1 0.500 0.500 0.500
```

Results
- ΔH_f (0 K) (eV per atom) = -0.114
- total magnetization (μB per atom) = 3.821
- distance to the lowest polymorph of the same formula (kJ/mol of atoms) = 13.0
- calculated total energy (Ry per atom) = -0.6677

Record 2
VASP calculation (GGA-PBE) on GdThTlHg after structural relaxation.

```
data_GdThTlHg
_space_group_name_H-M_alt 'F -4 3 m'
_space_group_IT_number 216
_space_group_name_Hall 'F -4 2 3'
_cell_length_a 7.673
_cell_length_b 7.673
_cell_length_c 7.673
_cell_angle_alpha 90.00
_cell_angle_beta 90.00
_cell_angle_gamma 90.00
loop_
_atom_site_label
_atom_site_fract_x
_atom_site_fract_y
_atom_site_fract_z
Gd1 0.000 0.000 0.000
Th1 0.000 0.000 0.500
Tl1 0.250 0.250 0.250
Hg1 0.250 0.250 0.750
```

Results
- ΔH_f (0 K) (eV per atom) = -0.267
- total magnetization (μB per atom) = 1.829
- calculated total energy (Ry per atom) = -0.4637

Record 3
VASP calculation (GGA-PBE) on GdThZnHg after structural relaxation.

```
data_GdThZnHg
_space_group_name_H-M_alt 'F -4 3 m'
_space_group_IT_number 216
_space_group_name_Hall 'F -4 2 3'
_cell_length_a 7.467
_cell_length_b 7.467
_cell_length_c 7.467
_cell_angle_alpha 90.00
_cell_angle_beta 90.00
_cell_angle_gamma 90.00
loop_
_atom_site_label
_atom_site_fract_x
_atom_site_fract_y
_atom_site_fract_z
Gd1 0.000 0.000 0.000
Th1 0.000 0.000 0.500
Zn1 0.250 0.250 0.250
Hg1 0.250 0.250 0.750
```

Results
- ΔH_f (0 K) (eV per atom) = -0.271
- total magnetization (μB per atom) = 2.034
- calculated total energy (Ry per atom) = -0.4440